PmUB12 | PBE | relaxed

Cell: 4.097 4.097 8.205 Å, 90.00 90.00 90.00°
Positions (direct):
Pm: 0.000 0.000 0.500
U: 0.000 0.000 0.000
B: 0.198 0.500 0.248
B: 0.198 0.500 0.752
B: 0.500 0.500 0.400
B: 0.500 0.500 0.902
B: 0.500 0.198 0.248
B: 0.500 0.198 0.752
B: 0.500 0.500 0.098
B: 0.500 0.500 0.600
B: 0.500 0.802 0.248
B: 0.500 0.802 0.752
B: 0.802 0.500 0.248
B: 0.802 0.500 0.752

Values from the calculation:
DOS(E_F) ... 8.08 states/eV per cell
Formation enthalpy at 0 K ... -0.369 eV per atom
Crystal system ... tetragonal


InHgW2 | PBE | relaxed

Cell: 2.837 2.837 9.113 Å, 90.00 90.00 90.00°
Positions (direct):
Hg: 0.500 0.500 0.250
In: 0.500 0.500 0.750
W: 0.000 0.000 0.000
W: 0.000 0.000 0.500

Values from the calculation:
ΔE to the lowest computed polymorph ... 357 meV/atom
DOS(E_F) ... 2.87 states/eV per cell
Formation enthalpy at 0 K ... 0.851 eV per atom
Crystal system ... tetragonal


AlTlSn2Hg | PBE | relaxed

Cell: 5.575 5.705 5.575 Å, 90.00 90.00 90.00°
Positions (direct):
Tl: 0.000 0.500 0.000
Al: 0.500 0.500 0.500
Hg: 0.000 0.000 0.000
Sn: 0.000 0.000 0.500
Sn: 0.500 0.000 0.000

Values from the calculation:
DOS(E_F) ... 1.56 states/eV per cell
Formation enthalpy at 0 K ... 0.660 eV per atom
Crystal system ... tetragonal


U4CS3 | PBE | relaxed

Cell: 5.350 5.350 5.350 Å, 90.00 90.00 90.00°
Positions (direct):
U: 0.500 0.000 0.000
U: 0.000 0.500 0.000
U: 0.000 0.000 0.500
U: 0.500 0.500 0.500
C: 0.000 0.000 0.000
S: 0.000 0.500 0.500
S: 0.500 0.000 0.500
S: 0.500 0.500 0.000

Values from the calculation:
ΔE to the lowest computed polymorph ... 86 meV/atom
DOS(E_F) ... 16.78 states/eV per cell
Energy relative to the elements, uncorrected ... -0.954 eV/atom
Crystal system ... cubic


UPdSe2O | PBE | relaxed

Cell: 3.783 3.783 13.388 Å, 90.00 90.00 90.00°
Positions (direct):
U: 0.500 0.000 0.600
U: 0.000 0.500 0.400
Pd: 0.500 0.000 0.104
Pd: 0.000 0.500 0.896
Se: 0.000 0.500 0.706
Se: 0.000 0.500 0.085
Se: 0.500 0.000 0.915
Se: 0.500 0.000 0.294
O: 0.000 0.000 0.500
O: 0.500 0.500 0.500

Values from the calculation:
DOS(E_F) ... 15.26 states/eV per cell
Energy relative to the elements, uncorrected ... -1.440 eV/atom
Crystal system ... tetragonal


LiMgAlPb | PBE | relaxed

Cell: 4.963 4.963 4.963 Å, 60.00 60.00 60.00°
Positions (direct):
Pb: 0.750 0.750 0.750
Mg: 0.000 0.000 0.000
Al: 0.250 0.250 0.250
Li: 0.500 0.500 0.500

Values from the calculation:
DOS(E_F) ... 1.70 states/eV per cell
Formation enthalpy at 0 K ... -0.044 eV per atom
Crystal system ... cubic


TbSm2Y4Tm2 | PBE | relaxed

Cell: 3.599 9.510 9.556 Å, 115.28 90.00 100.91°
Positions (direct):
Tb: 0.000 0.000 0.000
Sm: 0.851 0.703 0.332
Sm: 0.149 0.297 0.668
Y: 0.815 0.630 0.668
Y: 0.185 0.370 0.332
Y: 0.519 0.037 0.332
Y: 0.481 0.963 0.668
Tm: 0.333 0.666 0.999
Tm: 0.667 0.334 0.001

Values from the calculation:
DOS(E_F) ... 12.67 states/eV per cell
Formation enthalpy at 0 K ... 0.009 eV per atom
Crystal system ... monoclinic


Pr3HgP2 | PBE | relaxed

Cell: 4.963 7.062 10.573 Å, 90.00 90.00 110.57°
Positions (direct):
Pr: 0.625 0.250 0.050
Pr: 0.094 0.188 0.750
Pr: 0.625 0.250 0.450
Pr: 0.906 0.812 0.250
Pr: 0.375 0.750 0.950
Pr: 0.375 0.750 0.550
Hg: 0.232 0.464 0.250
Hg: 0.768 0.536 0.750
P: 0.000 0.000 0.000
P: 0.000 0.000 0.500
P: 0.490 0.980 0.250
P: 0.510 0.020 0.750

Values from the calculation:
DOS(E_F) ... 8.92 states/eV per cell
Formation enthalpy at 0 K ... -0.828 eV per atom
Crystal system ... orthorhombic


Rb2BeTcBr6 | PBE | relaxed

Cell: 7.443 7.443 7.654 Å, 60.91 60.91 90.00°
Positions (direct):
Be: 0.500 0.500 0.000
Br: 0.237 0.237 0.527
Br: 0.763 0.763 0.473
Br: 0.274 0.274 0.000
Br: 0.726 0.726 0.000
Br: 0.726 0.274 0.000
Br: 0.274 0.726 0.000
Tc: 0.000 0.000 0.000
Rb: 0.750 0.250 0.500
Rb: 0.250 0.750 0.500

Values from the calculation:
DOS(E_F) ... 0.00 states/eV per cell
Energy relative to the elements, uncorrected ... -0.811 eV/atom
Crystal system ... tetragonal


Nd8In2Rh | PBE | relaxed

Cell: 5.683 7.133 9.430 Å, 112.22 107.54 90.00°
Positions (direct):
Nd: 0.626 0.863 0.252
Nd: 0.374 0.612 0.748
Nd: 0.196 0.196 0.391
Nd: 0.000 0.246 0.000
Nd: 0.804 0.804 0.609
Nd: 0.626 0.388 0.252
Nd: 0.374 0.137 0.748
Nd: 0.000 0.754 0.000
In: 0.185 0.685 0.370
In: 0.815 0.315 0.630
Rh: 0.500 0.000 0.000

Values from the calculation:
DOS(E_F) ... 11.97 states/eV per cell
Formation enthalpy at 0 K ... -0.296 eV per atom
Crystal system ... orthorhombic


RbSiAu3 | PBE | relaxed

Cell: 6.654 6.654 6.654 Å, 81.13 81.13 81.13°
Positions (direct):
Si: 0.250 0.250 0.250
Si: 0.750 0.750 0.750
Au: 0.982 0.518 0.250
Au: 0.518 0.250 0.982
Au: 0.250 0.982 0.518
Au: 0.750 0.018 0.482
Au: 0.482 0.750 0.018
Au: 0.018 0.482 0.750
Rb: 0.000 0.000 0.000
Rb: 0.500 0.500 0.500

Values from the calculation:
ΔE to the lowest computed polymorph ... 610 meV/atom
DOS(E_F) ... 0.00 states/eV per cell
Energy relative to the elements, uncorrected ... 0.335 eV/atom
Crystal system ... trigonal


RbTl3InPb | PBE | relaxed

Cell: 7.048 7.994 8.919 Å, 116.63 90.00 90.00°
Positions (direct):
Rb: 0.750 0.300 0.600
Rb: 0.250 0.700 0.400
Tl: 0.250 0.136 0.272
Tl: 0.000 0.291 0.000
Tl: 0.500 0.709 0.000
Tl: 0.500 0.291 0.000
Tl: 0.000 0.709 0.000
Tl: 0.750 0.864 0.728
In: 0.250 0.923 0.847
In: 0.750 0.077 0.153
Pb: 0.250 0.363 0.725
Pb: 0.750 0.637 0.275

Values from the calculation:
DOS(E_F) ... 5.16 states/eV per cell
Formation enthalpy at 0 K ... 0.025 eV per atom
Crystal system ... orthorhombic